1.
{"formula": "La2AlFe", "functional": "PBE", "state": "optimized geometry", "volume_a3_per_cell": 90.3, "space_group": "F-43m (216)", "final_energy_ev_per_cell": -21.56, "lattice": [[0.000, 3.560, 3.560], [3.560, 0.000, 3.560], [3.560, 3.560, 0.000]], "species": ["La", "La", "Al", "Fe"], "fractional_positions": [[0.000, 0.000, 0.000], [0.250, 0.250, 0.250], [0.750, 0.750, 0.750], [0.500, 0.500, 0.500]]}

=====

2.
{"formula": "LaAl2Fe", "functional": "PBE", "state": "optimized geometry", "volume_a3_per_cell": 80.7, "space_group": "Cmmm (65)", "final_energy_ev_per_cell": -19.93, "lattice": [[2.827, -4.896, 0.000], [2.827, 4.896, 0.000], [0.000, 0.000, 2.915]], "species": ["La", "Al", "Al", "Fe"], "fractional_positions": [[0.000, 0.000, 0.000], [0.000, 0.500, 0.500], [0.500, 0.000, 0.500], [0.500, 0.500, 0.000]]}

=====

3.
{"formula": "La2AlFe", "functional": "PBE", "state": "optimized geometry", "volume_a3_per_cell": 102.0, "space_group": "P4/mmm (123)", "final_energy_ev_per_cell": -21.86, "lattice": [[5.152, 0.000, 0.000], [0.000, 5.152, 0.000], [0.000, 0.000, 3.844]], "species": ["La", "La", "Al", "Fe"], "fractional_positions": [[0.000, 0.500, 0.000], [0.500, 0.000, 0.000], [0.000, 0.000, 0.500], [0.500, 0.500, 0.500]]}